Entry 1:
! CsNaP2Cl, relaxed, DFT PBE; values from VASP
&SYSTEM
  ibrav = 0, nat = 5, ntyp = 4
/
ATOMIC_SPECIES
Cs 132.91 Cs.upf
Na 22.99 Na.upf
P 30.97 P.upf
Cl 35.45 Cl.upf
ATOMIC_POSITIONS angstrom
Cs 0.000 0.000 0.000
Na 2.629 2.629 2.952
P 0.000 2.629 2.952
P 2.629 0.000 2.952
Cl 2.629 2.629 0.000
CELL_PARAMETERS angstrom
5.258 0.000 0.000
0.000 5.258 0.000
0.000 0.000 5.904
! Excess energy over the best structure of this formula in the dataset ... 0.00 eV/f.u.
! Formation energy from raw total energies ... 0.206 eV per atom
! SG ... No. 123



Entry 2:
! GaGe2Rh, relaxed, DFT PBE; values from VASP
&SYSTEM
  ibrav = 0, nat = 8, ntyp = 3
/
ATOMIC_SPECIES
Ga 69.72 Ga.upf
Ge 72.64 Ge.upf
Rh 102.91 Rh.upf
ATOMIC_POSITIONS angstrom
Ga 0.000 0.000 0.000
Ga 0.000 2.813 2.897
Ge 1.406 -1.259 4.345
Ge 1.553 1.406 1.448
Ge 1.406 4.072 -1.448
Ge 1.259 1.406 7.242
Rh 2.813 0.000 2.897
Rh 0.000 0.000 5.793
CELL_PARAMETERS angstrom
-2.813 2.813 5.793
2.813 -2.813 5.793
2.813 2.813 -5.793
! ΔE_f ... 0.120 eV/atom
! SG ... No. 122



Entry 3:
! NaMn3Cu, relaxed, DFT PBE; values from VASP
&SYSTEM
  ibrav = 0, nat = 5, ntyp = 3
/
ATOMIC_SPECIES
Na 22.99 Na.upf
Mn 54.94 Mn.upf
Cu 63.55 Cu.upf
ATOMIC_POSITIONS angstrom
Na 0.000 0.000 0.000
Mn 0.000 2.361 2.361
Mn 2.361 0.000 2.361
Mn 2.361 2.361 0.000
Cu 2.361 2.361 2.361
CELL_PARAMETERS angstrom
4.723 0.000 0.000
0.000 4.723 0.000
0.000 0.000 4.723
! Excess energy over the best structure of this formula in the dataset ... 0.00 eV/f.u.
! ΔE_f ... 0.867 eV/atom
! SG ... No. 221



Entry 4:
! CaGa3CoPd, relaxed, DFT PBE; values from VASP
&SYSTEM
  ibrav = 0, nat = 12, ntyp = 4
/
ATOMIC_SPECIES
Ca 40.08 Ca.upf
Ga 69.72 Ga.upf
Co 58.93 Co.upf
Pd 106.42 Pd.upf
ATOMIC_POSITIONS angstrom
Ca 3.949 3.079 4.171
Ca 3.949 -3.079 1.390
Ga 2.016 0.000 0.000
Ga 2.016 0.000 2.780
Ga 3.949 2.066 1.390
Ga 3.949 -2.066 4.171
Ga 5.883 0.000 0.000
Ga 5.883 0.000 2.780
Co 3.949 0.165 4.171
Co 3.949 -0.165 1.390
Pd 3.949 4.530 1.390
Pd 3.949 -4.530 4.171
CELL_PARAMETERS angstrom
3.949 -5.367 0.000
3.949 5.367 0.000
0.000 0.000 5.561
! ΔE_f ... -0.351 eV/atom
! SG ... No. 63



Entry 5:
! CaTm2USb4, relaxed, DFT PBE; values from VASP
&SYSTEM
  ibrav = 0, nat = 8, ntyp = 4
/
ATOMIC_SPECIES
Ca 40.08 Ca.upf
Tm 168.93 Tm.upf
U 238.03 U.upf
Sb 121.76 Sb.upf
ATOMIC_POSITIONS angstrom
Ca 0.000 0.000 0.000
Tm 2.560 0.000 3.592
Tm 3.799 2.192 0.000
U -1.238 2.192 3.592
Sb 0.080 0.000 5.371
Sb 1.301 2.192 1.862
Sb 3.820 2.192 5.323
Sb 5.041 0.000 1.814
CELL_PARAMETERS angstrom
7.597 0.000 0.000
0.000 4.384 0.000
-2.476 0.000 7.185
! Formation energy from raw total energies ... -0.801 eV per atom
! SG ... No. 10



Entry 6:
! La2Pa2Te7, relaxed, DFT PBE; values from VASP
&SYSTEM
  ibrav = 0, nat = 11, ntyp = 3
/
ATOMIC_SPECIES
La 138.91 La.upf
Pa 231.04 Pa.upf
Te 127.60 Te.upf
ATOMIC_POSITIONS angstrom
La 2.395 0.000 0.000
La 7.536 0.000 0.000
Pa 4.966 3.016 3.803
Pa 4.966 -3.016 3.803
Te 0.000 0.000 2.004
Te 0.000 0.000 5.602
Te 2.483 2.799 1.840
Te 2.483 2.799 5.766
Te 2.483 -2.799 1.840
Te 2.483 -2.799 5.766
Te 4.966 0.000 3.803
CELL_PARAMETERS angstrom
4.966 -5.598 0.000
4.966 5.598 0.000
0.000 0.000 7.606
! Excess energy over the best structure of this formula in the dataset ... 2.20 eV/f.u.
! Formation energy from raw total energies ... -0.970 eV per atom
! SG ... No. 65



no.,theoretical density (g cm⁻³),total magnetic moment (μB per cell)
1,2.58,2.6
2,5.76,0.0
3,3.96,12.8
4,5.84,0.0
5,7.65,2.0
6,6.41,2.0